# Pr4Te3N2

A relaxed Pr4Te3N2 crystal (PBE, OQMD).

* energy above the lowest structure with this stoichiometry: 0.0 kJ per mole of atoms

a = 7.444 Å, b = 11.803 Å, c = 11.469 Å
α = 90.00°, β = 90.00°, γ = 90.00°
Fractional coordinates of all 36 atoms:
Pr 0.091 0.250 0.161
Pr 0.147 0.050 0.890
Pr 0.147 0.450 0.890
Pr 0.228 0.250 0.531
Pr 0.272 0.750 0.031
Pr 0.353 0.550 0.390
Pr 0.353 0.950 0.390
Pr 0.409 0.750 0.661
Pr 0.591 0.250 0.339
Pr 0.647 0.050 0.610
Pr 0.647 0.450 0.610
Pr 0.728 0.250 0.969
Pr 0.772 0.750 0.469
Pr 0.853 0.550 0.110
Pr 0.853 0.950 0.110
Pr 0.909 0.750 0.839
Te 0.066 0.579 0.635
Te 0.066 0.921 0.635
Te 0.081 0.750 0.273
Te 0.419 0.250 0.773
Te 0.434 0.079 0.135
Te 0.434 0.421 0.135
Te 0.566 0.579 0.865
Te 0.566 0.921 0.865
Te 0.581 0.750 0.227
Te 0.919 0.250 0.727
Te 0.934 0.079 0.365
Te 0.934 0.421 0.365
N 0.053 0.622 0.967
N 0.053 0.878 0.967
N 0.447 0.122 0.467
N 0.447 0.378 0.467
N 0.553 0.622 0.533
N 0.553 0.878 0.533
N 0.947 0.122 0.033
N 0.947 0.378 0.033